[1]
# Pm2CoCl (PBE-GGA, relaxed)
# **Spin magnetization**: 0.00 μB per cell
# **Crystal system**: trigonal
# **Volume**: 25.0 Å³ per atom
# **Energy above the lowest structure with this stoichiometry**: 0.00 kcal/mol of atoms
# **Uncorrected formation energy**: -19.3 kcal/mol of atoms
data_Pm2CoCl
_chemical_formula_sum 'Pm6 Co3 Cl3'
_symmetry_space_group_name_H-M 'R -3 m'
_symmetry_Int_Tables_number 166
_symmetry_space_group_name_Hall '-R 3 2"'
_cell_length_a 3.9236
_cell_length_b 3.9236
_cell_length_c 22.5278
_cell_angle_alpha 90.00
_cell_angle_beta 90.00
_cell_angle_gamma 120.00
loop_
_atom_site_label
_atom_site_type_symbol
_atom_site_fract_x
_atom_site_fract_y
_atom_site_fract_z
_atom_site_occupancy
Pm1 Pm 0.0000 0.0000 0.2336 1
Co1 Co 0.0000 0.0000 0.5000 1
Cl1 Cl 0.0000 0.0000 0.0000 1


[2]
# Pm4CoCl5 (PBE-GGA, relaxed)
# **Spin magnetization**: 0.00 μB per cell
# **Crystal system**: monoclinic
# **Volume**: 29.3 Å³ per atom
# **Uncorrected formation energy**: -36.6 kcal/mol of atoms
data_Pm4CoCl5
_chemical_formula_sum 'Pm8 Co2 Cl10'
_symmetry_space_group_name_H-M 'C 1 2/m 1'
_symmetry_Int_Tables_number 12
_symmetry_space_group_name_Hall '-C 2y'
_cell_length_a 18.501
_cell_length_b 3.942
_cell_length_c 8.349
_cell_angle_alpha 90.00
_cell_angle_beta 105.51
_cell_angle_gamma 90.00
loop_
_atom_site_label
_atom_site_type_symbol
_atom_site_fract_x
_atom_site_fract_y
_atom_site_fract_z
_atom_site_occupancy
Pm1 Pm 0.002 0.000 0.282 1
Pm2 Pm 0.152 0.500 0.602 1
Co1 Co 0.000 0.500 0.500 1
Cl1 Cl 0.000 0.500 0.000 1
Cl2 Cl 0.165 0.000 0.848 1
Cl3 Cl 0.173 0.000 0.367 1


[3]
# Pm2CoCl (PBE-GGA, relaxed)
# **Spin magnetization**: 0.00 μB per cell
# **Crystal system**: trigonal
# **Volume**: 25.2 Å³ per atom
# **Energy above the lowest structure with this stoichiometry**: 0.51 kcal/mol of atoms
# **Uncorrected formation energy**: -18.8 kcal/mol of atoms
data_Pm2CoCl
_chemical_formula_sum 'Pm6 Co3 Cl3'
_symmetry_space_group_name_H-M 'R 3 m'
_symmetry_Int_Tables_number 160
_symmetry_space_group_name_Hall 'R 3 -2"'
_cell_length_a 3.9091
_cell_length_b 3.9091
_cell_length_c 22.8382
_cell_angle_alpha 90.00
_cell_angle_beta 90.00
_cell_angle_gamma 120.00
loop_
_atom_site_label
_atom_site_type_symbol
_atom_site_fract_x
_atom_site_fract_y
_atom_site_fract_z
_atom_site_occupancy
Pm1 Pm 0.0000 0.0000 0.0000 1
Pm2 Pm 0.0000 0.0000 0.2009 1
Co1 Co 0.0000 0.0000 0.6005 1
Cl1 Cl 0.0000 0.0000 0.7701 1


[4]
# PmCoCl (PBE-GGA, relaxed)
# **Spin magnetization**: 1.09 μB per cell
# **Crystal system**: monoclinic
# **Volume**: 24.9 Å³ per atom
# **Energy above the lowest structure with this stoichiometry**: 0.10 kcal/mol of atoms
# **Uncorrected formation energy**: -26.1 kcal/mol of atoms
data_PmCoCl
_chemical_formula_sum 'Pm4 Co4 Cl4'
_symmetry_space_group_name_H-M 'C 1 m 1'
_symmetry_Int_Tables_number 8
_symmetry_space_group_name_Hall 'C -2y'
_cell_length_a 6.847
_cell_length_b 3.953
_cell_length_c 11.276
_cell_angle_alpha 90.00
_cell_angle_beta 101.86
_cell_angle_gamma 90.00
loop_
_atom_site_label
_atom_site_type_symbol
_atom_site_fract_x
_atom_site_fract_y
_atom_site_fract_z
_atom_site_occupancy
Pm1 Pm 0.000 0.000 0.000 1
Pm2 Pm 0.119 0.000 0.351 1
Co1 Co 0.226 0.500 0.175 1
Co2 Co 0.393 0.000 0.175 1
Cl1 Cl 0.007 0.500 0.512 1
Cl2 Cl 0.279 0.000 0.839 1